# 1
First-principles (GGA-PBE) data for Ta3NO6 after structural relaxation, as listed in the Alexandria database. Values from VASP.

Geometry as Quantum ESPRESSO input:
```
&SYSTEM
  ibrav = 0, nat = 30, ntyp = 3
/
ATOMIC_SPECIES
Ta 180.95 Ta.upf
N 14.01 N.upf
O 16.00 O.upf
CELL_PARAMETERS angstrom
10.4552 -1.9448 0.0000
10.4552 1.9448 0.0000
-6.0179 0.0000 10.4161
ATOMIC_POSITIONS crystal
Ta 0.0000 0.0000 0.0000
Ta 0.0241 0.0241 0.7470
Ta 0.1025 0.1025 0.3717
Ta 0.2099 0.2099 0.7416
Ta 0.6284 0.6284 0.0046
Ta 0.7355 0.7355 0.3721
Ta 0.8110 0.8110 0.0005
Ta 0.8394 0.8394 0.7406
Ta 0.9198 0.9198 0.3739
N 0.0923 0.0923 0.9697
N 0.7482 0.7482 0.7841
N 0.9439 0.9439 0.7922
O 0.0177 0.0177 0.3835
O 0.0475 0.0475 0.1847
O 0.1270 0.1270 0.7595
O 0.1650 0.1650 0.5632
O 0.2105 0.2105 0.3711
O 0.2949 0.2949 0.9609
O 0.3215 0.3215 0.7480
O 0.4189 0.4189 0.3733
O 0.5175 0.5175 0.0029
O 0.5476 0.5476 0.7921
O 0.6287 0.6287 0.3748
O 0.6726 0.6726 0.1827
O 0.7150 0.7150 0.9962
O 0.7906 0.7906 0.5603
O 0.8205 0.8205 0.3614
O 0.8708 0.8708 0.1784
O 0.8959 0.8959 0.9603
O 0.9696 0.9696 0.5682
```

## Properties
The calculation puts the calculated volume at 14.12 Å³/atom. The uncorrected formation energy comes out at -2575 meV/atom. As for the symmetry: No. 8. The value obtained for the calculated density is 7678 kg/m3.

# 2
First-principles (GGA-PBE) data for GaHgAu5 after structural relaxation, as listed in the Alexandria database. Values from VASP.

Geometry as Quantum ESPRESSO input:
```
&SYSTEM
  ibrav = 0, nat = 7, ntyp = 3
/
ATOMIC_SPECIES
Ga 69.72 Ga.upf
Hg 200.59 Hg.upf
Au 196.97 Au.upf
CELL_PARAMETERS angstrom
3.9929 0.0000 0.0000
0.0000 3.9929 0.0000
0.0000 0.0000 8.7188
ATOMIC_POSITIONS crystal
Ga 0.0000 0.0000 0.0000
Hg 0.5000 0.5000 0.5000
Au 0.0000 0.5000 0.2525
Au 0.0000 0.5000 0.7475
Au 0.5000 0.0000 0.2525
Au 0.5000 0.0000 0.7475
Au 0.5000 0.5000 0.0000
```

## Properties
The value obtained for the total energy is -2.809 eV/atom. The calculation puts the calculated volume at 19.86 Å³/atom. As for the symmetry: No. 123. The value obtained for the calculated density is 14994 kg/m3.